VASP calculation (PBE) on a relaxed LiLuThRh crystal.

```
LiLuThRh
1.0
0.0000 3.5254 3.5254
3.5254 0.0000 3.5254
3.5254 3.5254 0.0000
Li Lu Th Rh
1 1 1 1
direct
0.0000 0.0000 0.0000
0.7500 0.7500 0.7500
0.2500 0.2500 0.2500
0.5000 0.5000 0.5000
```

Properties
- magnetic moment (μB per atom) = 0.00
- E_tot (eV/atom) = -5.69
- SG = No. 216
- energy relative to the elements (meV/atom) = -391
- Fermi-level density of states (states/eV/atom) = 0.97

VASP calculation (PBE) on a relaxed LiLuTlRh crystal.

```
LiLuTlRh
1.0
0.0000 3.3505 3.3505
3.3505 0.0000 3.3505
3.3505 3.3505 0.0000
Li Lu Tl Rh
1 1 1 1
direct
0.0000 0.0000 0.0000
0.7500 0.7500 0.7500
0.2500 0.2500 0.2500
0.5000 0.5000 0.5000
```

Properties
- magnetic moment (μB per atom) = 0.00
- E_tot (eV/atom) = -4.47
- SG = No. 216
- energy relative to the elements (meV/atom) = -428
- Fermi-level density of states (states/eV/atom) = 0.83

VASP calculation (PBE) on a relaxed LiYLuRh crystal.

```
LiYLuRh
1.0
0.0000 3.4561 3.4561
3.4561 0.0000 3.4561
3.4561 3.4561 0.0000
Li Y Lu Rh
1 1 1 1
direct
0.0000 0.0000 0.0000
0.2500 0.2500 0.2500
0.7500 0.7500 0.7500
0.5000 0.5000 0.5000
```

Properties
- magnetic moment (μB per atom) = 0.00
- E_tot (eV/atom) = -5.58
- SG = No. 216
- energy relative to the elements (meV/atom) = -515
- Fermi-level density of states (states/eV/atom) = 0.67